VASP calculation (PBE-GGA) on a geometry-optimized Er2PuAu structure.

## Properties
Symmetry: No. 123
DOS at the Fermi energy, states/eV per cell: 7.46
E_form, eV per atom: -0.33
Distance to the lowest polymorph of the same formula, eV/f.u.: 0.00
Calculated total energy, eV/atom: -7.0166

Lattice parameters (Å, degrees): 3.540 3.540 8.322 90.00 90.00 90.00
Last column: magnetic moment on the atom in μB.
Sites, in units of the cell vectors:
Au1 0.500 0.500 0.000  0.01
Er1 0.000 0.000 0.789  0.26
Er2 0.000 0.000 0.211  0.26
Pu1 0.500 0.500 0.500  5.56

VASP calculation (PBE-GGA) on a geometry-optimized Er2PuAu4 structure.

## Properties
Symmetry: No. 123
DOS at the Fermi energy, states/eV per cell: 11.86
E_form, eV per atom: -0.53
Calculated total energy, eV/atom: -5.7545

Lattice parameters (Å, degrees): 5.120 5.120 6.530 90.00 90.00 90.00
Last column: magnetic moment on the atom in μB.
Sites, in units of the cell vectors:
Er1 0.500 0.500 0.500  0.18
Er2 0.000 0.000 0.000  0.06
Au1 0.000 0.500 0.739  0.03
Au2 0.500 0.000 0.261  0.03
Au3 0.500 0.000 0.739  0.03
Au4 0.000 0.500 0.261  0.03
Pu1 0.500 0.500 0.000  5.36

VASP calculation (PBE-GGA) on a geometry-optimized Er2PuAu structure.

## Properties
Symmetry: No. 166
DOS at the Fermi energy, states/eV per cell: 10.57
E_form, eV per atom: -0.19
Distance to the lowest polymorph of the same formula, eV/f.u.: 0.56
Calculated total energy, eV/atom: -6.8754

Lattice parameters (Å, degrees): 3.570 3.570 10.151 79.87 79.87 60.00
Last column: magnetic moment on the atom in μB.
Sites, in units of the cell vectors:
Er1 0.261 0.261 0.216  0.15
Er2 0.739 0.739 0.784  0.15
Au1 0.000 0.000 0.000  -0.01
Pu1 0.500 0.500 0.500  5.61

Copy entry 1 word for word.
VASP calculation (PBE-GGA) on a geometry-optimized Er2PuAu structure.

## Properties
Symmetry: No. 123
DOS at the Fermi energy, states/eV per cell: 7.46
E_form, eV per atom: -0.33
Distance to the lowest polymorph of the same formula, eV/f.u.: 0.00
Calculated total energy, eV/atom: -7.0166

Lattice parameters (Å, degrees): 3.540 3.540 8.322 90.00 90.00 90.00
Last column: magnetic moment on the atom in μB.
Sites, in units of the cell vectors:
Au1 0.500 0.500 0.000  0.01
Er1 0.000 0.000 0.789  0.26
Er2 0.000 0.000 0.211  0.26
Pu1 0.500 0.500 0.500  5.56

What did the second record say?
VASP calculation (PBE-GGA) on a geometry-optimized Er2PuAu4 structure.

## Properties
Symmetry: No. 123
DOS at the Fermi energy, states/eV per cell: 11.86
E_form, eV per atom: -0.53
Calculated total energy, eV/atom: -5.7545

Lattice parameters (Å, degrees): 5.120 5.120 6.530 90.00 90.00 90.00
Last column: magnetic moment on the atom in μB.
Sites, in units of the cell vectors:
Er1 0.500 0.500 0.500  0.18
Er2 0.000 0.000 0.000  0.06
Au1 0.000 0.500 0.739  0.03
Au2 0.500 0.000 0.261  0.03
Au3 0.500 0.000 0.739  0.03
Au4 0.000 0.500 0.261  0.03
Pu1 0.500 0.500 0.000  5.36

Please write out number 3 again, unchanged.
VASP calculation (PBE-GGA) on a geometry-optimized Er2PuAu structure.

## Properties
Symmetry: No. 166
DOS at the Fermi energy, states/eV per cell: 10.57
E_form, eV per atom: -0.19
Distance to the lowest polymorph of the same formula, eV/f.u.: 0.56
Calculated total energy, eV/atom: -6.8754

Lattice parameters (Å, degrees): 3.570 3.570 10.151 79.87 79.87 60.00
Last column: magnetic moment on the atom in μB.
Sites, in units of the cell vectors:
Er1 0.261 0.261 0.216  0.15
Er2 0.739 0.739 0.784  0.15
Au1 0.000 0.000 0.000  -0.01
Pu1 0.500 0.500 0.500  5.61

Which formula does entry 3 have? Er2PuAu